Pm12Ge5O2 | PBE | relaxed

Cell lengths 7.4620, 9.1414, 8.9310 Å; angles 104.34, 90.00, 114.09 degrees
Atoms (fractional coordinates):
Pm1 0.0994 0.7042 0.4289
Pm2 0.6048 0.7042 0.4289
Pm3 0.5994 0.6868 0.9188
Ge1 0.3063 0.6127 0.6537
Ge2 0.6937 0.3873 0.3463
Pm4 0.9973 0.9945 0.1758
Pm5 0.4975 0.9950 0.7993
Pm6 0.3952 0.2958 0.5711
Pm7 0.9006 0.2958 0.5711
Pm8 0.9126 0.3132 0.0812
Pm9 0.0027 0.0055 0.8242
Pm10 0.0874 0.6868 0.9188
Pm11 0.4006 0.3132 0.0812
O1 0.7345 0.0000 0.0000
Ge3 0.0000 0.0000 0.5000
Ge4 0.6831 0.3661 0.8434
O2 0.2655 0.0000 0.0000
Pm12 0.5025 0.0050 0.2007
Ge5 0.3169 0.6339 0.1566

Output
- V (Å³/atom) = 28.174
- E_form (uncorrected) (eV/atom) = -0.964
- space-group type = C2/m (12)